# 1
EuGe4Pb (PBE, optimized geometry); E = -5.56 eV/atom
1.0
5.783 0.000 0.000
2.891 5.008 0.000
2.891 1.669 4.722
Ge Eu Pb
4 1 1
direct
0.124 0.625 0.625
0.625 0.625 0.124
0.625 0.124 0.625
0.625 0.625 0.625
0.000 0.000 0.000
0.250 0.250 0.250


# 2
EuGePb (PBE, optimized geometry); excess energy over the best structure of this formula in the dataset = 0.39 eV per formula unit
1.0
-3.575 -2.480 -2.680
-2.934 -3.505 2.285
-4.948 0.963 0.838
Eu Ge Pb
1 1 1
direct
0.500 0.500 0.500
0.250 0.250 0.250
0.000 0.000 0.000


# 3
EuGePb (PBE, optimized geometry); excess energy over the best structure of this formula in the dataset = 0.00 eV per formula unit
1.0
5.061 0.000 0.000
0.000 4.490 0.000
0.000 -2.245 3.889
Eu Pb Ge
1 1 1
direct
0.708 0.667 0.333
0.271 0.333 0.667
0.021 0.000 0.000


# 4
PmEuGePb (PBE, optimized geometry); E = -6.30 eV/atom
1.0
5.426 0.000 0.000
2.713 4.699 0.000
2.713 1.566 4.431
Pb Eu Ge Pm
1 1 1 1
direct
0.750 0.750 0.750
0.500 0.500 0.500
0.250 0.250 0.250
0.000 0.000 0.000


no.,theoretical density (g/cm3),total magnetization (μB per atom),N(E_F) (states/eV/atom)
1,7.9,1.20,1.218
2,7.6,2.39,1.553
3,8.1,2.34,0.175
4,8.5,1.75,0.635